{
  "formula": "Na2FeO2",
  "functional": "GGA+U",
  "state": "optimized geometry",
  "energy_ev_per_atom": -4.732,
  "sg": "No. 127",
  "cell": [[5.869, 0.000, 0.000], [0.000, 5.869, 0.000], [0.000, 0.000, 3.516]],
  "species": ["Na", "Na", "Na", "Na", "Fe", "Fe", "O", "O", "O", "O"],
  "frac_coords": [[0.134, 0.634, 0.500], [0.634, 0.866, 0.500], [0.866, 0.366, 0.500], [0.366, 0.134, 0.500], [0.000, 0.000, 0.000], [0.500, 0.500, 0.000], [0.309, 0.809, 0.000], [0.809, 0.691, 0.000], [0.691, 0.191, 0.000], [0.191, 0.309, 0.000]]
}